DFT (PBE with a Hubbard U) results for a relaxed structure of TcMoNO2.

```
TcMoNO2
1.0
3.8613 0.0000 0.0000
0.0000 3.8613 0.0000
0.0000 0.0000 4.0541
Mo O Tc N
1 2 1 1
direct
0.5000 0.5000 0.5000 Mo
0.5000 0.0000 0.0000 O
0.0000 0.5000 0.0000 O
0.0000 0.0000 0.0000 Tc
0.0000 0.0000 0.5000 N
```

Properties
Magnetic moment = 4.5 μB/cell
Theoretical density = 6.6 g/cm³
E_tot = -7.357 eV/atom